*1*
Material: UBrCl4
Method: DFT, PBE
State: relaxed

space group = I-4, No. 82
calculated density = 3.01 Mg/m³

Lattice parameters (Å, degrees): 7.0432 7.0432 7.1402 119.55 119.55 90.00
Each line ends with the local moment (μB).
Positions (direct):
U1 0.5000 0.5000 0.0000  1.51
Cl1 0.9009 0.5077 0.2339  -0.05
Br1 0.7500 0.2500 0.5000  -0.28
Cl2 0.4923 0.6670 0.7661  -0.05
Cl3 0.2738 0.0991 0.7661  -0.05
Cl4 0.3330 0.7262 0.2339  -0.05



*2*
Material: UBrCl4
Method: DFT, PBE
State: relaxed

space group = P2_1/c, No. 14
calculated density = 2.88 Mg/m³

Lattice parameters (Å, degrees): 12.5199 13.7661 7.4486 90.00 90.00 24.42
Each line ends with the local moment (μB).
Positions (direct):
Br1 0.5000 0.5000 0.0000  -0.03
Cl1 0.8972 0.0007 0.2845  -0.04
U1 0.0000 0.0000 0.0000  1.17
Br2 0.5000 0.0000 0.5000  -0.03
Cl2 0.1708 0.4986 0.3282  -0.04
U2 0.0000 0.5000 0.5000  1.17
Cl3 0.1028 0.9993 0.7155  -0.04
Cl4 0.8292 0.0014 0.8282  -0.04
Cl5 0.8972 0.5007 0.2155  -0.04
Cl6 0.8292 0.5014 0.6718  -0.04
Cl7 0.1708 0.9986 0.1718  -0.04
Cl8 0.1028 0.4993 0.7845  -0.04



List of relative energies, unit kJ/mol of atoms: *1* 38.0; *2* 0.0



*1*
Material: UBrCl2
Method: DFT, PBE
State: relaxed

space group = Cmcm, No. 63
calculated density = 5.30 Mg/m³

Lattice parameters (Å, degrees): 3.9350 7.3680 8.7180 90.00 90.00 105.49
Each line ends with the local moment (μB).
Positions (direct):
Br1 0.9134 0.8268 0.2500  -0.04
Br2 0.0866 0.1732 0.7500  -0.04
U1 0.7357 0.4713 0.7500  2.85
Cl1 0.6644 0.3288 0.4308  -0.02
Cl2 0.6644 0.3288 0.0692  -0.02
U2 0.2643 0.5287 0.2500  2.85
Cl3 0.3356 0.6712 0.5692  -0.02
Cl4 0.3356 0.6712 0.9308  -0.02



*2*
Material: UBrCl2
Method: DFT, PBE
State: relaxed

space group = P2/m, No. 10
calculated density = 4.06 Mg/m³

Lattice parameters (Å, degrees): 4.1808 7.1786 7.1639 132.27 90.00 90.00
Each line ends with the local moment (μB).
Positions (direct):
Cl1 0.0000 0.3680 0.1422  -0.03
Cl2 0.0000 0.6320 0.8578  -0.03
Br1 0.5000 0.0000 0.5000  -0.02
U1 0.5000 0.5000 0.0000  2.89



List of relative energies, unit kJ/mol of atoms: *1* 0.0; *2* 5.4



*1*
Material: VBrCl
Method: DFT, PBE
State: relaxed

space group = P2_1/c, No. 14
calculated density = 4.47 Mg/m³

Lattice parameters (Å, degrees): 6.2799 6.9272 6.8063 123.36 90.00 90.00
Each line ends with the local moment (μB).
Positions (direct):
Cl1 0.8394 0.1106 0.8967  -0.01
V1 0.9936 0.2947 0.3035  0.90
Br1 0.6422 0.6399 0.8274  -0.01
Br2 0.1422 0.3601 0.6726  -0.01
V2 0.0064 0.7053 0.6965  0.90
Cl2 0.3394 0.8894 0.6033  -0.01
Cl3 0.1606 0.8894 0.1033  -0.01
Br3 0.8578 0.6399 0.3274  -0.01
V3 0.4936 0.7053 0.1965  0.90
Cl4 0.6606 0.1106 0.3967  -0.01
Br4 0.3578 0.3601 0.1726  -0.01
V4 0.5064 0.2947 0.8035  0.90



*2*
Material: VBrCl
Method: DFT, PBE
State: relaxed

space group = C2/m, No. 12
calculated density = 3.46 Mg/m³

Lattice parameters (Å, degrees): 3.7377 6.4691 6.9079 96.44 105.70 90.00
Each line ends with the local moment (μB).
Positions (direct):
Br1 0.3854 0.6380 0.7709  -0.03
V1 0.5000 0.0000 0.0000  2.66
Cl1 0.9039 0.1450 0.8078  -0.03
Br2 0.6146 0.3620 0.2291  -0.03
V2 0.0000 0.5000 0.0000  2.63
Cl2 0.0961 0.8550 0.1922  -0.03



*3*
Material: VBrCl
Method: DFT, PBE
State: relaxed

space group = P3m1, No. 156
calculated density = 3.53 Mg/m³

Lattice parameters (Å, degrees): 3.7429 3.7429 6.4498 90.00 90.00 120.00
Each line ends with the local moment (μB).
Positions (direct):
Br1 0.0000 0.0000 0.1126  -0.03
V1 0.6667 0.3333 0.3439  2.65
Cl1 0.3333 0.6667 0.5434  -0.03



List of relative energies, unit kJ/mol of atoms: *1* 27.6; *2* 0.0; *3* 0.6



*1*
Material: VBr3Cl
Method: DFT, PBE
State: relaxed

space group = Pm-3m, No. 221
calculated density = 4.25 Mg/m³

Lattice parameters (Å, degrees): 5.0335 5.0335 5.0335 90.00 90.00 90.00
Each line ends with the local moment (μB).
Positions (direct):
Br1 0.0000 0.5000 0.0000  -0.12
V1 0.0000 0.0000 0.0000  1.77
Br2 0.5000 0.0000 0.0000  -0.12
Br3 0.0000 0.0000 0.5000  -0.12
Cl1 0.5000 0.5000 0.5000  -0.43



*2*
Material: VBr3Cl
Method: DFT, PBE
State: relaxed

space group = P2_1/m, No. 11
calculated density = 3.36 Mg/m³

Lattice parameters (Å, degrees): 3.7189 8.4803 10.4848 90.00 90.00 102.55
Each line ends with the local moment (μB).
Positions (direct):
V1 0.6173 0.7389 0.2500  1.12
Br1 0.8821 0.2610 0.9185  -0.02
Cl1 0.2496 0.9946 0.7500  -0.06
V2 0.3827 0.2611 0.7500  1.12
Br2 0.1179 0.7390 0.0815  -0.02
Br3 0.4763 0.4521 0.2500  -0.09
Br4 0.5237 0.5479 0.7500  -0.09
Br5 0.1179 0.7390 0.4185  -0.02
Br6 0.8821 0.2610 0.5815  -0.02
Cl2 0.7504 0.0054 0.2500  -0.06



*3*
Material: VBr3Cl
Method: DFT, PBE
State: relaxed

space group = Pmn2_1, No. 31
calculated density = 2.58 Mg/m³

Lattice parameters (Å, degrees): 7.0627 7.1463 8.3053 90.00 90.00 90.00
Each line ends with the local moment (μB).
Positions (direct):
V1 0.2218 0.3243 0.0000  1.00
Br1 0.5461 0.3011 0.0000  -0.02
V2 0.7218 0.6757 0.5000  1.00
Br2 0.1046 0.1787 0.2255  -0.02
Br3 0.6046 0.8213 0.2745  -0.02
Cl1 0.6386 0.3866 0.5000  -0.01
Br4 0.0461 0.6989 0.5000  -0.02
Br5 0.1046 0.1787 0.7745  -0.02
Cl2 0.1386 0.6134 0.0000  -0.01
Br6 0.6046 0.8213 0.7255  -0.02



List of relative energies, unit kJ/mol of atoms: *1* 55.8; *2* 6.2; *3* 0.0



*1*
Material: WBrCl
Method: DFT, PBE
State: relaxed

space group = F-43m, No. 216
calculated density = 8.62 Mg/m³

Lattice parameters (Å, degrees): 4.3353 4.3353 4.3353 60.00 60.00 60.00
Positions (direct):
W1 0.2500 0.2500 0.2500
Cl1 0.5000 0.5000 0.5000
Br1 0.0000 0.0000 0.0000



*2*
Material: WBrCl
Method: DFT, PBE
State: relaxed

space group = I4mm, No. 107
calculated density = 7.61 Mg/m³

Lattice parameters (Å, degrees): 7.0322 7.0322 7.0322 154.31 154.31 36.65
Each line ends with the local moment (μB).
Positions (direct):
W1 0.6639 0.6639 0.0000  0.26
Br1 0.0520 0.0520 0.0000  -0.01
Cl1 0.2841 0.2841 0.0000  0.02



*3*
Material: WBrCl
Method: DFT, PBE
State: relaxed

space group = P2_1/c, No. 14
calculated density = 6.76 Mg/m³

Lattice parameters (Å, degrees): 6.6765 9.9928 6.6625 138.57 90.00 90.00
Positions (direct):
Br1 0.2492 0.1552 0.8104
Cl1 0.8730 0.3141 0.6278
Br2 0.7492 0.3448 0.1897
Cl2 0.3730 0.1859 0.3722
W1 0.1644 0.9636 0.9271
Br3 0.7508 0.8448 0.1897
W2 0.6644 0.5364 0.0729
Cl3 0.1270 0.6859 0.3722
W3 0.8356 0.0364 0.0729
Br4 0.2508 0.6552 0.8104
Cl4 0.6270 0.8141 0.6278
W4 0.3356 0.4636 0.9271



*4*
Material: WBrCl
Method: DFT, PBE
State: relaxed

space group = Fmm2, No. 42
calculated density = 6.89 Mg/m³

Lattice parameters (Å, degrees): 8.4448 8.0404 3.3626 85.08 71.55 23.37
Each line ends with the local moment (μB).
Positions (direct):
Br1 0.9613 0.9613 0.0387  0.02
W1 0.3302 0.3302 0.6698  0.81
Cl1 0.7085 0.7085 0.2915  0.02



List of relative energies, unit kJ/mol of atoms: *1* 66.9; *2* 59.6; *3* 0.0; *4* 27.2



*1*
Material: YBrCl2
Method: DFT, PBE
State: relaxed

space group = P4/mmm, No. 123
calculated density = 4.34 Mg/m³

Lattice parameters (Å, degrees): 4.5471 4.4896 4.4896 90.00 90.00 90.00
Positions (direct):
Cl1 0.0000 0.5000 0.5000
Br1 0.5000 0.0000 0.5000
Cl2 0.0000 0.0000 0.0000
Y1 0.5000 0.5000 0.0000



*2*
Material: YBrCl2
Method: DFT, PBE
State: relaxed

space group = R-3m, No. 166
calculated density = 2.31 Mg/m³

Lattice parameters (Å, degrees): 12.7526 12.7526 12.7526 17.97 17.97 17.97
Each line ends with the local moment (μB).
Positions (direct):
Br1 0.5000 0.5000 0.5000  0.71
Cl1 0.0646 0.0646 0.0646  0.00
Cl2 0.9354 0.9354 0.9354  0.00
Y1 0.0000 0.0000 0.0000  0.20



*3*
Material: YBrCl2
Method: DFT, PBE
State: relaxed

space group = Cc, No. 9
calculated density = 2.83 Mg/m³

Lattice parameters (Å, degrees): 6.9946 6.9946 7.6251 108.50 108.50 112.95
Positions (direct):
Br1 0.8861 0.5544 0.1321
Br2 0.5544 0.8861 0.6321
Y1 0.4370 0.1190 0.9167
Cl1 0.0449 0.6778 0.7080
Cl2 0.2631 0.2654 0.1570
Cl3 0.2654 0.2631 0.6570
Y2 0.1190 0.4370 0.4167
Cl4 0.6778 0.0449 0.2080



*4*
Material: YBrCl2
Method: DFT, PBE
State: relaxed

space group = R3m, No. 160
calculated density = 3.23 Mg/m³

Lattice parameters (Å, degrees): 7.3305 7.3305 7.3305 36.22 36.22 36.22
Positions (direct):
Br1 0.7858 0.7858 0.7858
Cl1 0.9574 0.9574 0.9574
Y1 0.5437 0.5437 0.5437
Cl2 0.2131 0.2131 0.2131



List of relative energies, unit kJ/mol of atoms: *1* 77.4; *2* 147.0; *3* 0.0; *4* 31.6